[1]
Computed, not measured: a geometry-optimized KSrInTe3 structure at the GGA-PBE level of DFT.

## Properties
Uncorrected formation energy (meV per atom): -949

Unit cell a=12.1146 b=12.1146 c=8.9979 alpha=98.41 beta=98.41 gamma=22.31
Closest atoms and distances in Å follow each position.
Fractional coordinates of all 12 atoms:
1 K 0.1697 0.1697 0.4662  4 Te 3.51-3.62
2 K 0.8303 0.8303 0.5338  4 Te 3.51-3.62
3 Sr 0.1716 0.1716 0.9576  6 Te 3.28-3.53
4 Sr 0.8284 0.8284 0.0424  6 Te 3.28-3.53
5 In 0.4739 0.4739 0.1701  4 Te 2.83-2.91
6 In 0.5261 0.5261 0.8299  4 Te 2.83-2.91
7 Te 0.0571 0.0571 0.6846  2 In 2.83
8 Te 0.2776 0.2776 0.2396  3 Sr 3.28-3.30, 3 K 3.51-3.62
9 Te 0.4089 0.4089 0.8697  2 In 2.86-2.91
10 Te 0.5911 0.5911 0.1303  2 In 2.86-2.91
11 Te 0.7224 0.7224 0.7604  3 Sr 3.28-3.30, 3 K 3.51-3.62
12 Te 0.9429 0.9429 0.3154  2 In 2.83

=====

[2]
Computed, not measured: a geometry-optimized CeMgAl2Ga2 structure at the GGA-PBE level of DFT.

## Properties
Energy relative to the elements (kJ/mol of formula units): -194

Unit cell a=4.5168 b=4.5168 c=6.7856 alpha=90.00 beta=90.00 gamma=120.00
Closest atoms and distances in Å follow each position.
Fractional coordinates of all 6 atoms:
1 Ce 0.0000 0.0000 0.0000  6 Ga 3.19, 6 Al 3.28, 2 Mg 3.39
2 Mg 0.0000 0.0000 0.5000  6 Al 2.96, 6 Ga 3.04
3 Al 0.3333 0.6667 0.2924  3 Ga 2.61
4 Al 0.6667 0.3333 0.7076  3 Ga 2.61
5 Ga 0.3333 0.6667 0.7293  3 Al 2.61
6 Ga 0.6667 0.3333 0.2707  3 Al 2.61

=====

[3]
Computed, not measured: a geometry-optimized NaNbAs2Se structure at the GGA-PBE level of DFT.

## Properties
Uncorrected formation energy (meV per atom): -198
Relative energy among the computed polymorphs (meV/atom): 0.0

Unit cell a=5.0699 b=5.0699 c=5.0852 alpha=90.00 beta=90.00 gamma=90.00
Closest atoms and distances in Å follow each position.
Fractional coordinates of all 5 atoms:
1 Na 0.0000 0.0000 0.0000  4 Se 3.58, 8 As 3.59
2 Nb 0.5000 0.5000 0.5000  4 As 2.53, 2 Se 2.54
3 As 0.0000 0.5000 0.5000  2 Nb 2.53
4 As 0.5000 0.0000 0.5000  2 Nb 2.53
5 Se 0.5000 0.5000 0.0000  2 Nb 2.54

=====

[4]
Computed, not measured: a geometry-optimized AgF6 structure at the GGA-PBE level of DFT.

## Properties
Uncorrected formation energy (meV per atom): -425

Unit cell a=8.9132 b=8.8931 c=5.0780 alpha=90.00 beta=90.00 gamma=90.00
Closest atoms and distances in Å follow each position.
Fractional coordinates of all 28 atoms:
1 Ag 0.1448 0.2500 0.0842  6 F 1.93-1.94
2 Ag 0.3552 0.7500 0.5842  6 F 1.93-1.94
3 Ag 0.6448 0.2500 0.4158  6 F 1.93-1.94
4 Ag 0.8552 0.7500 0.9158  6 F 1.93-1.94
5 F 0.0085 0.0961 0.2124  1 Ag 1.94
6 F 0.0085 0.4039 0.2124  1 Ag 1.94
7 F 0.0395 0.2500 0.7509  1 Ag 1.94
8 F 0.2201 0.5972 0.4541  1 Ag 1.93
9 F 0.2201 0.9028 0.4541  1 Ag 1.93
10 F 0.2478 0.2500 0.4206  1 Ag 1.94
11 F 0.2522 0.7500 0.9206  1 Ag 1.94
12 F 0.2799 0.0972 0.9541  1 Ag 1.93
13 F 0.2799 0.4028 0.9541  1 Ag 1.93
14 F 0.4605 0.7500 0.2509  1 Ag 1.94
15 F 0.4915 0.5961 0.7124  1 Ag 1.94
16 F 0.4915 0.9039 0.7124  1 Ag 1.94
17 F 0.5085 0.0961 0.2876  1 Ag 1.94
18 F 0.5085 0.4039 0.2876  1 Ag 1.94
19 F 0.5395 0.2500 0.7491  1 Ag 1.94
20 F 0.7201 0.5972 0.0459  1 Ag 1.93
21 F 0.7201 0.9028 0.0459  1 Ag 1.93
22 F 0.7478 0.2500 0.0794  1 Ag 1.94
23 F 0.7522 0.7500 0.5794  1 Ag 1.94
24 F 0.7799 0.0972 0.5459  1 Ag 1.93
25 F 0.7799 0.4028 0.5459  1 Ag 1.93
26 F 0.9605 0.7500 0.2491  1 Ag 1.94
27 F 0.9915 0.5961 0.7876  1 Ag 1.94
28 F 0.9915 0.9039 0.7876  1 Ag 1.94

=====

Number 1: calculated volume 41.31 A^3/atom, total magnetic moment 0.00 Bohr magnetons per cell. Number 2: calculated volume 19.98 A^3/atom, total magnetic moment 0.91 Bohr magnetons per cell. Number 3: calculated volume 26.14 A^3/atom, total magnetic moment 0.00 Bohr magnetons per cell. Number 4: calculated volume 14.38 A^3/atom, total magnetic moment 4.30 Bohr magnetons per cell.